Record 1
Crystalline TbCeHo2Er at its relaxed geometry, computed with GGA-PBE.

Results
* ΔE_f: 302 meV per atom

a b c (Å): 7.140 7.689 5.817
angles (deg): 90.00 89.99 90.00
Fractional positions:
Tb  0.159  0.500  0.750
Tb  0.841  0.500  0.250
Ce  0.000  0.000  0.000
Ce  0.000  0.000  0.500
Ho  0.679  0.707  0.750
Ho  0.679  0.293  0.750
Ho  0.321  0.707  0.250
Ho  0.321  0.293  0.250
Er  0.611  0.000  0.250
Er  0.389  0.000  0.750

=====

Record 2
Crystalline MgNpInPb at its relaxed geometry, computed with GGA-PBE.

Results
* ΔE_f: 161 meV per atom

a b c (Å): 5.284 5.284 5.284
angles (deg): 60.00 60.00 60.00
Fractional positions:
Np  0.500  0.500  0.500
Pb  0.750  0.750  0.750
Mg  0.000  0.000  0.000
In  0.250  0.250  0.250

=====

Record 3
Crystalline LiGe at its relaxed geometry, computed with GGA-PBE.

Results
* ΔE_f: -77 meV per atom

a b c (Å): 7.976 7.976 7.976
angles (deg): 90.00 90.00 90.00
Fractional positions:
Li  0.201  0.201  0.201
Li  0.201  0.799  0.799
Li  0.799  0.201  0.799
Li  0.799  0.799  0.201
Li  0.701  0.701  0.701
Li  0.701  0.299  0.299
Li  0.299  0.701  0.299
Li  0.299  0.299  0.701
Ge  0.386  0.386  0.386
Ge  0.386  0.614  0.614
Ge  0.614  0.386  0.614
Ge  0.614  0.614  0.386
Ge  0.886  0.886  0.886
Ge  0.886  0.114  0.114
Ge  0.114  0.886  0.114
Ge  0.114  0.114  0.886

=====

Record 4
Crystalline ZrMn2Cr at its relaxed geometry, computed with GGA-PBE.

Results
* ΔE_f: 168 meV per atom
* energy above the lowest structure with this stoichiometry: 119 meV/atom

a b c (Å): 4.323 4.323 4.323
angles (deg): 60.00 60.00 60.00
Fractional positions:
Cr  0.500  0.500  0.500
Mn  0.000  0.000  0.000
Mn  0.250  0.250  0.250
Zr  0.750  0.750  0.750

=====

Record 5
Crystalline MgNi at its relaxed geometry, computed with GGA-PBE.

Results
* ΔE_f: -53 meV per atom

a b c (Å): 7.586 7.586 4.278
angles (deg): 90.00 90.00 90.00
Fractional positions:
Mg  0.218  0.500  0.000
Mg  0.782  0.500  0.000
Mg  0.500  0.782  0.000
Mg  0.500  0.218  0.000
Mg  0.718  0.000  0.500
Mg  0.282  0.000  0.500
Mg  0.000  0.282  0.500
Mg  0.000  0.718  0.500
Ni  0.838  0.838  0.000
Ni  0.838  0.162  0.000
Ni  0.162  0.838  0.000
Ni  0.162  0.162  0.000
Ni  0.338  0.338  0.500
Ni  0.338  0.662  0.500
Ni  0.662  0.338  0.500
Ni  0.662  0.662  0.500

=====

Record 6
Crystalline NaCa2PmSe4 at its relaxed geometry, computed with GGA-PBE.

Results
* E_form (uncorrected): -1833 meV per atom

a b c (Å): 4.243 7.292 7.280
angles (deg): 108.68 90.00 90.00
Fractional positions:
Na  0.500  0.500  0.000
Ca  0.500  0.000  0.500
Ca  0.000  0.500  0.500
Pm  0.000  0.000  0.000
Se  0.500  0.246  0.247
Se  0.500  0.754  0.753
Se  0.000  0.241  0.745
Se  0.000  0.759  0.255

=====

Record 7
Crystalline Rb2MgCdBr6 at its relaxed geometry, computed with GGA-PBE.

Results
* E_form (uncorrected): -1391 meV per atom
* energy above the lowest structure with this stoichiometry: 0 meV/atom

a b c (Å): 7.726 7.726 13.849
angles (deg): 73.80 73.80 60.00
Fractional positions:
Rb  0.879  0.879  0.364
Rb  0.121  0.121  0.636
Rb  0.705  0.705  0.885
Rb  0.295  0.295  0.115
Mg  0.000  0.000  0.000
Mg  0.500  0.500  0.500
Cd  0.585  0.585  0.244
Cd  0.415  0.415  0.756
Br  0.866  0.378  0.377
Br  0.378  0.866  0.377
Br  0.378  0.378  0.377
Br  0.134  0.622  0.623
Br  0.622  0.134  0.623
Br  0.622  0.622  0.623
Br  0.713  0.203  0.880
Br  0.203  0.713  0.880
Br  0.203  0.203  0.880
Br  0.287  0.797  0.120
Br  0.797  0.287  0.120
Br  0.797  0.797  0.120

=====

| no. | DFT total energy (eV/atom) |
| --- | --- |
| 1 | -4.554 |
| 2 | -5.085 |
| 3 | -3.343 |
| 4 | -8.960 |
| 5 | -3.741 |
| 6 | -4.835 |
| 7 | -2.839 |